Entry one
Compound: Cu2Ag3
Source: OQMD via LeMat-Bulk
Functional: PBE-GGA
Structure: optimized geometry

a = 4.988 Å, b = 4.988 Å, c = 11.359 Å
α = 97.27°, β = 97.27°, γ = 33.60°
Atoms (fractional coordinates):
1 Cu 0.129 0.129 0.185
2 Cu 0.205 0.205 0.914
3 Cu 0.795 0.795 0.086
4 Cu 0.871 0.871 0.815
5 Ag 0.000 0.000 0.500
6 Ag 0.289 0.289 0.614
7 Ag 0.422 0.422 0.271
8 Ag 0.500 0.500 0.000
9 Ag 0.578 0.578 0.729
10 Ag 0.711 0.711 0.386

Entry two
Compound: Cu2Ag3
Source: OQMD via LeMat-Bulk
Functional: PBE-GGA
Structure: optimized geometry

a = 7.032 Å, b = 2.854 Å, c = 7.885 Å
α = 90.00°, β = 99.30°, γ = 90.00°
Atoms (fractional coordinates):
1 Cu 0.035 0.250 0.146
2 Cu 0.112 0.750 0.426
3 Cu 0.888 0.250 0.574
4 Cu 0.965 0.750 0.854
5 Ag 0.255 0.250 0.718
6 Ag 0.330 0.750 0.037
7 Ag 0.408 0.250 0.353
8 Ag 0.592 0.750 0.647
9 Ag 0.670 0.250 0.963
10 Ag 0.745 0.750 0.282

Least stable: entry two

Entry one
Compound: GdTm2Cd
Source: OQMD via LeMat-Bulk
Functional: PBE-GGA
Structure: optimized geometry

a = 5.555 Å, b = 11.352 Å, c = 7.142 Å
α = 90.00°, β = 90.00°, γ = 90.00°
Atoms (fractional coordinates):
1 Gd 0.250 0.131 0.000
2 Gd 0.250 0.631 0.500
3 Gd 0.750 0.369 0.500
4 Gd 0.750 0.869 0.000
5 Tm 0.250 0.161 0.510
6 Tm 0.250 0.406 0.780
7 Tm 0.250 0.661 0.010
8 Tm 0.250 0.906 0.280
9 Tm 0.750 0.094 0.280
10 Tm 0.750 0.339 0.010
11 Tm 0.750 0.594 0.780
12 Tm 0.750 0.839 0.510
13 Cd 0.250 0.387 0.242
14 Cd 0.250 0.887 0.742
15 Cd 0.750 0.113 0.742
16 Cd 0.750 0.613 0.242

Entry two
Compound: GdTm2Cd
Source: OQMD via LeMat-Bulk
Functional: PBE-GGA
Structure: optimized geometry

a = 6.869 Å, b = 11.941 Å, c = 5.422 Å
α = 90.00°, β = 90.00°, γ = 90.00°
Atoms (fractional coordinates):
1 Gd 0.000 0.173 0.250
2 Gd 0.000 0.827 0.750
3 Gd 0.500 0.327 0.750
4 Gd 0.500 0.673 0.250
5 Tm 0.244 0.416 0.250
6 Tm 0.244 0.584 0.750
7 Tm 0.256 0.084 0.750
8 Tm 0.256 0.916 0.250
9 Tm 0.744 0.084 0.750
10 Tm 0.744 0.916 0.250
11 Tm 0.756 0.416 0.250
12 Tm 0.756 0.584 0.750
13 Cd 0.000 0.335 0.750
14 Cd 0.000 0.665 0.250
15 Cd 0.500 0.165 0.250
16 Cd 0.500 0.835 0.750

Least stable: entry one

Entry one
Compound: SrLiNiBi
Source: OQMD via LeMat-Bulk
Functional: PBE-GGA
Structure: optimized geometry

a = 7.291 Å, b = 7.291 Å, c = 7.291 Å
α = 90.00°, β = 90.00°, γ = 90.00°
Atoms (fractional coordinates):
1 Sr 0.000 0.000 0.000
2 Sr 0.000 0.500 0.500
3 Sr 0.500 0.000 0.500
4 Sr 0.500 0.500 0.000
5 Li 0.000 0.000 0.500
6 Li 0.000 0.500 0.000
7 Li 0.500 0.000 0.000
8 Li 0.500 0.500 0.500
9 Ni 0.250 0.250 0.750
10 Ni 0.250 0.750 0.250
11 Ni 0.750 0.250 0.250
12 Ni 0.750 0.750 0.750
13 Bi 0.250 0.250 0.250
14 Bi 0.250 0.750 0.750
15 Bi 0.750 0.250 0.750
16 Bi 0.750 0.750 0.250

Entry two
Compound: SrLiNiBi
Source: OQMD via LeMat-Bulk
Functional: PBE-GGA
Structure: optimized geometry

a = 6.929 Å, b = 6.929 Å, c = 6.929 Å
α = 90.00°, β = 90.00°, γ = 90.00°
Atoms (fractional coordinates):
1 Sr 0.000 0.000 0.000
2 Sr 0.000 0.500 0.500
3 Sr 0.500 0.000 0.500
4 Sr 0.500 0.500 0.000
5 Li 0.250 0.250 0.250
6 Li 0.250 0.750 0.750
7 Li 0.750 0.250 0.750
8 Li 0.750 0.750 0.250
9 Ni 0.250 0.250 0.750
10 Ni 0.250 0.750 0.250
11 Ni 0.750 0.250 0.250
12 Ni 0.750 0.750 0.750
13 Bi 0.000 0.000 0.500
14 Bi 0.000 0.500 0.000
15 Bi 0.500 0.000 0.000
16 Bi 0.500 0.500 0.500

Least stable: entry one

Entry one
Compound: PrIrW
Source: OQMD via LeMat-Bulk
Functional: PBE-GGA
Structure: optimized geometry

a = 6.558 Å, b = 6.558 Å, c = 6.558 Å
α = 90.00°, β = 90.00°, γ = 90.00°
Atoms (fractional coordinates):
1 Pr 0.000 0.000 0.000
2 Pr 0.000 0.500 0.500
3 Pr 0.500 0.000 0.500
4 Pr 0.500 0.500 0.000
5 Ir 0.250 0.250 0.750
6 Ir 0.250 0.750 0.250
7 Ir 0.750 0.250 0.250
8 Ir 0.750 0.750 0.750
9 W 0.000 0.000 0.500
10 W 0.000 0.500 0.000
11 W 0.500 0.000 0.000
12 W 0.500 0.500 0.500

Entry two
Compound: PrIrW
Source: OQMD via LeMat-Bulk
Functional: PBE-GGA
Structure: optimized geometry

a = 6.595 Å, b = 6.595 Å, c = 6.595 Å
α = 90.00°, β = 90.00°, γ = 90.00°
Atoms (fractional coordinates):
1 Pr 0.000 0.000 0.000
2 Pr 0.000 0.500 0.500
3 Pr 0.500 0.000 0.500
4 Pr 0.500 0.500 0.000
5 Ir 0.250 0.250 0.250
6 Ir 0.250 0.750 0.750
7 Ir 0.750 0.250 0.750
8 Ir 0.750 0.750 0.250
9 W 0.250 0.250 0.750
10 W 0.250 0.750 0.250
11 W 0.750 0.250 0.250
12 W 0.750 0.750 0.750

Least stable: entry two

Entry one
Compound: BePtSO
Source: OQMD via LeMat-Bulk
Functional: PBE-GGA
Structure: optimized geometry

a = 4.169 Å, b = 5.830 Å, c = 8.568 Å
α = 90.00°, β = 90.00°, γ = 90.00°
Atoms (fractional coordinates):
1 Be 0.024 0.242 0.095
2 Be 0.476 0.758 0.595
3 Be 0.524 0.258 0.905
4 Be 0.976 0.742 0.405
5 Pt 0.162 0.188 0.600
6 Pt 0.338 0.812 0.100
7 Pt 0.662 0.312 0.400
8 Pt 0.838 0.688 0.900
9 S 0.248 0.514 0.754
10 S 0.252 0.486 0.254
11 S 0.748 0.986 0.246
12 S 0.752 0.014 0.746
13 O 0.227 0.883 0.493
14 O 0.273 0.117 0.993
15 O 0.727 0.617 0.507
16 O 0.773 0.383 0.007

Entry two
Compound: BePtSO
Source: OQMD via LeMat-Bulk
Functional: PBE-GGA
Structure: optimized geometry

a = 5.057 Å, b = 6.160 Å, c = 8.510 Å
α = 90.00°, β = 90.00°, γ = 90.00°
Atoms (fractional coordinates):
1 Be 0.181 0.129 0.472
2 Be 0.319 0.871 0.972
3 Be 0.681 0.371 0.528
4 Be 0.819 0.629 0.028
5 Pt 0.177 0.678 0.521
6 Pt 0.323 0.322 0.021
7 Pt 0.677 0.822 0.479
8 Pt 0.823 0.178 0.979
9 S 0.039 0.347 0.630
10 S 0.461 0.653 0.130
11 S 0.539 0.153 0.370
12 S 0.961 0.847 0.870
13 O 0.030 0.933 0.404
14 O 0.470 0.067 0.904
15 O 0.530 0.567 0.596
16 O 0.970 0.433 0.096

Least stable: entry two

Entry one
Compound: AcReSi
Source: OQMD via LeMat-Bulk
Functional: PBE-GGA
Structure: optimized geometry

a = 6.562 Å, b = 6.562 Å, c = 6.562 Å
α = 90.00°, β = 90.00°, γ = 90.00°
Atoms (fractional coordinates):
1 Ac 0.000 0.000 0.000
2 Ac 0.000 0.500 0.500
3 Ac 0.500 0.000 0.500
4 Ac 0.500 0.500 0.000
5 Re 0.250 0.250 0.750
6 Re 0.250 0.750 0.250
7 Re 0.750 0.250 0.250
8 Re 0.750 0.750 0.750
9 Si 0.000 0.000 0.500
10 Si 0.000 0.500 0.000
11 Si 0.500 0.000 0.000
12 Si 0.500 0.500 0.500

Entry two
Compound: AcReSi
Source: OQMD via LeMat-Bulk
Functional: PBE-GGA
Structure: optimized geometry

a = 6.627 Å, b = 6.627 Å, c = 6.627 Å
α = 90.00°, β = 90.00°, γ = 90.00°
Atoms (fractional coordinates):
1 Ac 0.000 0.000 0.000
2 Ac 0.000 0.500 0.500
3 Ac 0.500 0.000 0.500
4 Ac 0.500 0.500 0.000
5 Re 0.000 0.000 0.500
6 Re 0.000 0.500 0.000
7 Re 0.500 0.000 0.000
8 Re 0.500 0.500 0.500
9 Si 0.250 0.250 0.250
10 Si 0.250 0.750 0.750
11 Si 0.750 0.250 0.750
12 Si 0.750 0.750 0.250

Least stable: entry two

Entry one
Compound: CuAg4
Source: OQMD via LeMat-Bulk
Functional: PBE-GGA
Structure: optimized geometry

a = 7.614 Å, b = 7.614 Å, c = 5.774 Å
α = 101.63°, β = 101.63°, γ = 30.66°
Atoms (fractional coordinates):
1 Cu 0.202 0.202 0.095
2 Cu 0.798 0.798 0.905
3 Ag 0.000 0.000 0.000
4 Ag 0.000 0.000 0.500
5 Ag 0.204 0.204 0.611
6 Ag 0.393 0.393 0.188
7 Ag 0.399 0.399 0.701
8 Ag 0.601 0.601 0.299
9 Ag 0.607 0.607 0.812
10 Ag 0.796 0.796 0.389

Entry two
Compound: CuAg4
Source: OQMD via LeMat-Bulk
Functional: PBE-GGA
Structure: optimized geometry

a = 2.913 Å, b = 4.026 Å, c = 14.401 Å
α = 90.00°, β = 90.00°, γ = 90.00°
Atoms (fractional coordinates):
1 Cu 0.250 0.250 0.045
2 Cu 0.750 0.750 0.955
3 Ag 0.250 0.250 0.239
4 Ag 0.250 0.250 0.448
5 Ag 0.250 0.250 0.656
6 Ag 0.250 0.250 0.865
7 Ag 0.750 0.750 0.135
8 Ag 0.750 0.750 0.344
9 Ag 0.750 0.750 0.552
10 Ag 0.750 0.750 0.761

Least stable: entry one

Entry one
Compound: CuAg4
Source: OQMD via LeMat-Bulk
Functional: PBE-GGA
Structure: optimized geometry

a = 10.313 Å, b = 10.313 Å, c = 4.079 Å
α = 90.00°, β = 90.00°, γ = 157.16°
Atoms (fractional coordinates):
1 Cu 0.151 0.849 0.750
2 Cu 0.849 0.151 0.250
3 Ag 0.053 0.947 0.250
4 Ag 0.250 0.750 0.250
5 Ag 0.348 0.652 0.750
6 Ag 0.447 0.553 0.250
7 Ag 0.553 0.447 0.750
8 Ag 0.652 0.348 0.250
9 Ag 0.750 0.250 0.750
10 Ag 0.947 0.053 0.750

Entry two
Compound: CuAg4
Source: OQMD via LeMat-Bulk
Functional: PBE-GGA
Structure: optimized geometry

a = 5.006 Å, b = 5.006 Å, c = 8.941 Å
α = 91.51°, β = 91.51°, γ = 48.55°
Atoms (fractional coordinates):
1 Cu 0.140 0.140 0.048
2 Cu 0.860 0.860 0.952
3 Ag 0.043 0.043 0.341
4 Ag 0.263 0.263 0.768
5 Ag 0.347 0.347 0.449
6 Ag 0.433 0.433 0.137
7 Ag 0.567 0.567 0.863
8 Ag 0.653 0.653 0.551
9 Ag 0.737 0.737 0.232
10 Ag 0.957 0.957 0.659

Least stable: entry one

Entry one
Compound: CuAg4
Source: OQMD via LeMat-Bulk
Functional: PBE-GGA
Structure: optimized geometry

a = 11.775 Å, b = 11.775 Å, c = 4.960 Å
α = 94.95°, β = 94.95°, γ = 14.18°
Atoms (fractional coordinates):
1 Cu 0.151 0.151 0.050
2 Cu 0.849 0.849 0.950
3 Ag 0.051 0.051 0.347
4 Ag 0.253 0.253 0.758
5 Ag 0.349 0.349 0.448
6 Ag 0.446 0.446 0.144
7 Ag 0.554 0.554 0.856
8 Ag 0.651 0.651 0.552
9 Ag 0.747 0.747 0.242
10 Ag 0.949 0.949 0.653

Entry two
Compound: CuAg4
Source: OQMD via LeMat-Bulk
Functional: PBE-GGA
Structure: optimized geometry

a = 4.982 Å, b = 7.609 Å, c = 11.100 Å
α = 92.48°, β = 93.71°, γ = 90.08°
Atoms (fractional coordinates):
1 Cu 0.000 0.000 0.000
2 Cu 0.061 0.324 0.479
3 Cu 0.229 0.951 0.439
4 Cu 0.621 0.409 0.593
5 Cu 0.915 0.677 0.519
6 Ag 0.024 0.153 0.248
7 Ag 0.126 0.484 0.702
8 Ag 0.160 0.644 0.956
9 Ag 0.190 0.799 0.202
10 Ag 0.303 0.133 0.662
11 Ag 0.316 0.279 0.916
12 Ag 0.351 0.437 0.162
13 Ag 0.378 0.594 0.409
14 Ag 0.451 0.768 0.632
15 Ag 0.490 0.926 0.879
16 Ag 0.510 0.076 0.120
17 Ag 0.532 0.235 0.372
18 Ag 0.642 0.559 0.830
19 Ag 0.682 0.719 0.078
20 Ag 0.707 0.870 0.328
21 Ag 0.786 0.042 0.555
22 Ag 0.811 0.203 0.794
23 Ag 0.838 0.352 0.039
24 Ag 0.865 0.512 0.288
25 Ag 0.974 0.846 0.757

Least stable: entry one

Entry one
Compound: Cu5Ag4
Source: OQMD via LeMat-Bulk
Functional: PBE-GGA
Structure: optimized geometry

a = 16.777 Å, b = 16.777 Å, c = 16.777 Å
α = 170.41°, β = 170.41°, γ = 13.58°
Atoms (fractional coordinates):
1 Cu 0.000 0.000 0.000
2 Cu 0.094 0.094 0.000
3 Cu 0.547 0.547 0.000
4 Cu 0.773 0.773 0.000
5 Cu 0.885 0.885 0.000
6 Ag 0.216 0.216 0.000
7 Ag 0.329 0.329 0.000
8 Ag 0.442 0.442 0.000
9 Ag 0.651 0.651 0.000

Entry two
Compound: Cu5Ag4
Source: OQMD via LeMat-Bulk
Functional: PBE-GGA
Structure: optimized geometry

a = 4.765 Å, b = 4.765 Å, c = 11.246 Å
α = 112.27°, β = 112.27°, γ = 33.83°
Atoms (fractional coordinates):
1 Cu 0.000 0.000 0.000
2 Cu 0.235 0.235 0.881
3 Cu 0.558 0.558 0.212
4 Cu 0.673 0.673 0.673
5 Cu 0.911 0.911 0.564
6 Ag 0.131 0.131 0.456
7 Ag 0.338 0.338 0.332
8 Ag 0.455 0.455 0.781
9 Ag 0.777 0.777 0.096

Least stable: entry two

Entry one
Compound: Cu5Ag4
Source: OQMD via LeMat-Bulk
Functional: PBE-GGA
Structure: optimized geometry

a = 7.146 Å, b = 7.146 Å, c = 6.698 Å
α = 94.09°, β = 94.09°, γ = 22.68°
Atoms (fractional coordinates):
1 Cu 0.000 0.000 0.000
2 Cu 0.341 0.341 0.014
3 Cu 0.440 0.440 0.705
4 Cu 0.560 0.560 0.295
5 Cu 0.659 0.659 0.986
6 Ag 0.096 0.096 0.647
7 Ag 0.223 0.223 0.314
8 Ag 0.777 0.777 0.686
9 Ag 0.904 0.904 0.353

Entry two
Compound: Cu5Ag4
Source: OQMD via LeMat-Bulk
Functional: PBE-GGA
Structure: optimized geometry

a = 2.767 Å, b = 2.767 Å, c = 19.801 Å
α = 90.00°, β = 90.00°, γ = 120.00°
Atoms (fractional coordinates):
1 Cu 0.000 0.000 0.000
2 Cu 0.000 0.000 0.352
3 Cu 0.000 0.000 0.648
4 Cu 0.333 0.667 0.550
5 Cu 0.667 0.333 0.450
6 Ag 0.333 0.667 0.239
7 Ag 0.333 0.667 0.888
8 Ag 0.667 0.333 0.112
9 Ag 0.667 0.333 0.761

Least stable: entry two